# 1
GePPb2: optimized geometry, PBE.

## Properties
V	24.38	Å³ per atom
total magnetization	0.0	μB/f.u.
formation enthalpy at 0 K	0.358	eV/atom
VASP energy	-4.00	eV/atom

Unit cell a=5.1667 b=5.1667 c=5.1667 alpha=60.00 beta=60.00 gamma=60.00
Last column: nearest neighbours and their distance in Å.
Sites, in units of the cell vectors:
P  0.0000  0.0000  0.0000  8 Pb 3.16
Pb  0.2500  0.2500  0.2500  4 Ge 3.16, 4 P 3.16
Pb  0.7500  0.7500  0.7500  4 Ge 3.16, 4 P 3.16
Ge  0.5000  0.5000  0.5000  8 Pb 3.16



# 2
GeP3Pb: optimized geometry, PBE.

## Properties
V	22.00	Å³ per atom
total magnetization	0.0	μB/f.u.
formation enthalpy at 0 K	0.699	eV/atom
VASP energy	-4.21	eV/atom

Unit cell a=4.7913 b=4.7913 c=4.7913 alpha=90.00 beta=90.00 gamma=90.00
Last column: nearest neighbours and their distance in Å.
Sites, in units of the cell vectors:
P  0.0000  0.0000  0.5000  2 Ge 2.40
P  0.0000  0.5000  0.0000  2 Ge 2.40
P  0.5000  0.0000  0.0000  2 Ge 2.40
Pb  0.5000  0.5000  0.5000  12 P 3.39
Ge  0.0000  0.0000  0.0000  6 P 2.40



# 3
GePPb2: optimized geometry, PBE.

## Properties
V	33.47	Å³ per atom
total magnetization	0.0	μB/f.u.
formation enthalpy at 0 K	0.295	eV/atom
VASP energy	-4.07	eV/atom

Unit cell a=6.4238 b=6.4238 c=7.9206 alpha=66.08 beta=66.08 gamma=90.00
Last column: nearest neighbours and their distance in Å.
Sites, in units of the cell vectors:
Pb  0.3750  0.3832  0.7500  2 P 2.76, 2 Ge 2.82
Pb  0.8750  0.8668  0.7500  2 P 2.76, 2 Ge 2.82
Pb  0.1332  0.6250  0.2500  2 P 2.76, 2 Ge 2.82
Pb  0.6168  0.1250  0.2500  2 P 2.76, 2 Ge 2.82
Ge  0.0000  0.0000  0.0000  4 Pb 2.82
Ge  0.7500  0.2500  0.5000  4 Pb 2.82
P  0.2500  0.7500  0.5000  4 Pb 2.76
P  0.5000  0.5000  0.0000  4 Pb 2.76



# 4
Ge2PPdPb: optimized geometry, PBE.

## Properties
V	24.28	Å³ per atom
total magnetization	0.0	μB/f.u.
formation enthalpy at 0 K	0.624	eV/atom
VASP energy	-4.09	eV/atom

Unit cell a=4.7047 b=5.4846 c=4.7047 alpha=90.00 beta=90.00 gamma=90.00
Last column: nearest neighbours and their distance in Å.
Sites, in units of the cell vectors:
Pb  0.0000  0.5000  0.0000  2 P 2.74
P  0.0000  0.0000  0.0000  4 Ge 2.35
Ge  0.5000  0.0000  0.0000  2 P 2.35
Ge  0.0000  0.0000  0.5000  2 P 2.35
Pd  0.5000  0.5000  0.5000  4 Pb 3.33, 8 Ge 3.61



# 5
GePPt6Pb2: optimized geometry, PBE.

## Properties
V	19.77	Å³ per atom
total magnetization	0.0	μB/f.u.
formation enthalpy at 0 K	-0.288	eV/atom
VASP energy	-5.66	eV/atom

Unit cell a=6.5936 b=7.1263 c=8.4143 alpha=90.00 beta=90.00 gamma=90.00
Last column: nearest neighbours and their distance in Å.
Sites, in units of the cell vectors:
Pt  0.5000  0.0919  0.7406  1 P 2.34, 1 Ge 2.50
Pt  0.7137  0.9557  0.0000  1 P 2.42, 1 Ge 2.60
Pt  0.5000  0.0919  0.2594  1 P 2.34, 1 Ge 2.50
Pt  0.2108  0.4461  0.5000  1 P 2.34, 1 Ge 2.50
Pt  0.2892  0.5539  0.0000  1 P 2.34, 1 Ge 2.50
Pt  0.0000  0.9081  0.7594  1 P 2.34, 1 Ge 2.50
Pt  0.7108  0.5539  0.0000  1 P 2.34, 1 Ge 2.50
Pt  0.7892  0.4461  0.5000  1 P 2.34, 1 Ge 2.50
Pt  0.0000  0.9081  0.2406  1 P 2.34, 1 Ge 2.50
Pt  0.7863  0.0443  0.5000  1 P 2.42, 1 Ge 2.60
Pt  0.2863  0.9557  0.0000  1 P 2.42, 1 Ge 2.60
Pt  0.2137  0.0443  0.5000  1 P 2.42, 1 Ge 2.60
Pb  0.5000  0.6917  0.7112  5 Pt 2.86-3.14
Pb  0.0000  0.3083  0.2112  5 Pt 2.86-3.14
Pb  0.0000  0.3083  0.7888  5 Pt 2.86-3.14
Pb  0.5000  0.6917  0.2888  5 Pt 2.86-3.14
Ge  0.0000  0.7371  0.5000  6 Pt 2.50-2.60
Ge  0.5000  0.2629  0.0000  6 Pt 2.50-2.60
P  0.0000  0.7434  0.0000  6 Pt 2.34-2.42
P  0.5000  0.2566  0.5000  6 Pt 2.34-2.42



# 6
RbGeP2Pb: optimized geometry, PBE.

## Properties
V	32.48	Å³ per atom
total magnetization	0.0	μB/f.u.
formation enthalpy at 0 K	1.635	eV/atom
VASP energy	-2.39	eV/atom

Unit cell a=5.4612 b=5.4449 c=5.4612 alpha=90.00 beta=90.00 gamma=90.00
Last column: nearest neighbours and their distance in Å.
Sites, in units of the cell vectors:
Rb  0.0000  0.0000  0.0000  2 Ge 2.72, 4 P 2.73
P  0.5000  0.0000  0.0000  2 Rb 2.73
P  0.0000  0.0000  0.5000  2 Rb 2.73
Ge  0.0000  0.5000  0.0000  2 Rb 2.72
Pb  0.5000  0.5000  0.5000  8 P 3.86, 4 Ge 3.86



# 7
SrGePPb2: optimized geometry, PBE.

## Properties
V	31.01	Å³ per atom
total magnetization	0.0	μB/f.u.
formation enthalpy at 0 K	0.184	eV/atom
VASP energy	-3.64	eV/atom

Unit cell a=5.6504 b=4.8566 c=5.6504 alpha=90.00 beta=90.00 gamma=90.00
Last column: nearest neighbours and their distance in Å.
Sites, in units of the cell vectors:
Pb  0.5000  0.0000  0.0000  2 Ge 2.83
Pb  0.0000  0.0000  0.5000  2 Ge 2.83
Ge  0.0000  0.0000  0.0000  2 P 2.43
Sr  0.5000  0.5000  0.5000  8 Pb 3.73, 4 P 4.00
P  0.0000  0.5000  0.0000  2 Ge 2.43



# 8
Th6Ge3P2Pb: optimized geometry, PBE.

## Properties
V	28.14	Å³ per atom
total magnetization	0.0	μB/f.u.
formation enthalpy at 0 K	-0.904	eV/atom
VASP energy	-6.98	eV/atom

Unit cell a=4.2995 b=8.6220 c=9.5882 alpha=102.50 beta=102.96 gamma=90.00
Last column: nearest neighbours and their distance in Å.
Sites, in units of the cell vectors:
Th  0.9958  0.7322  0.9915  3 Ge 2.95-3.06, 1 P 3.00, 2 Pb 3.14
Th  0.3315  0.4200  0.6631  3 P 2.97-3.01, 3 Ge 3.07
Th  0.6739  0.0920  0.3479  3 Ge 2.96-3.09, 2 P 3.02, 1 Pb 3.17
Th  0.3261  0.9080  0.6521  3 Ge 2.96-3.09, 2 P 3.02, 1 Pb 3.17
Th  0.6685  0.5800  0.3369  3 P 2.97-3.01, 3 Ge 3.07
Th  0.0042  0.2678  0.0085  3 Ge 2.95-3.06, 1 P 3.00, 2 Pb 3.14
P  0.1687  0.3353  0.3374  6 Th 2.97-3.02
P  0.8313  0.6647  0.6626  6 Th 2.97-3.02
Ge  0.8365  0.1687  0.6730  6 Th 2.96-3.09
Ge  0.1635  0.8313  0.3270  6 Th 2.96-3.09
Ge  0.5000  0.5000  0.0000  6 Th 2.95-3.07
Pb  0.5000  0.0000  0.0000  6 Th 3.14-3.17



# 9
GeP2Pd: optimized geometry, PBE.

## Properties
V	20.13	Å³ per atom
total magnetization	0.0	μB/f.u.
formation enthalpy at 0 K	-0.125	eV/atom
VASP energy	-5.28	eV/atom

Unit cell a=5.5247 b=5.5247 c=6.5649 alpha=65.12 beta=65.12 gamma=90.00
Last column: nearest neighbours and their distance in Å.
Sites, in units of the cell vectors:
Pd  0.7500  0.2500  0.5000  4 P 2.34
Pd  0.0000  0.0000  0.0000  4 P 2.34
Ge  0.5000  0.5000  0.0000  4 P 2.38
Ge  0.2500  0.7500  0.5000  4 P 2.38
P  0.3750  0.3688  0.7500  2 Pd 2.34, 2 Ge 2.38
P  0.8750  0.8812  0.7500  2 Pd 2.34, 2 Ge 2.38
P  0.6312  0.1250  0.2500  2 Pd 2.34, 2 Ge 2.38
P  0.1188  0.6250  0.2500  2 Pd 2.34, 2 Ge 2.38



# 10
Ge2PPd2: optimized geometry, PBE.

## Properties
V	16.64	Å³ per atom
total magnetization	0.0	μB/f.u.
formation enthalpy at 0 K	-0.020	eV/atom
VASP energy	-5.03	eV/atom

Unit cell a=7.3376 b=7.3376 c=3.0904 alpha=90.00 beta=90.00 gamma=90.00
Last column: nearest neighbours and their distance in Å.
Sites, in units of the cell vectors:
Pd  0.1404  0.3596  0.0000  6 Ge 2.60-2.69, 2 P 2.83
Pd  0.6404  0.1404  0.0000  6 Ge 2.60-2.69, 2 P 2.83
Pd  0.8596  0.6404  0.0000  6 Ge 2.60-2.69, 2 P 2.83
Pd  0.3596  0.8596  0.0000  6 Ge 2.60-2.69, 2 P 2.83
Ge  0.1585  0.6585  0.5000  6 Pd 2.60-2.69
Ge  0.6585  0.8415  0.5000  6 Pd 2.60-2.69
Ge  0.3415  0.1585  0.5000  6 Pd 2.60-2.69
Ge  0.8415  0.3415  0.5000  6 Pd 2.60-2.69
P  0.5000  0.5000  0.0000  4 Pd 2.83, 2 P 3.09, 8 Ge 3.17
P  0.0000  0.0000  0.0000  4 Pd 2.83, 2 P 3.09, 8 Ge 3.17



# 11
GeP2Pd2: optimized geometry, PBE.

## Properties
V	16.19	Å³ per atom
total magnetization	0.0	μB/f.u.
formation enthalpy at 0 K	0.022	eV/atom
VASP energy	-5.14	eV/atom

Unit cell a=3.4739 b=3.4739 c=7.1423 alpha=75.93 beta=75.93 gamma=90.00
Last column: nearest neighbours and their distance in Å.
Sites, in units of the cell vectors:
Pd  0.6021  0.6021  0.7959  4 P 2.64, 1 Pd 2.74, 4 Ge 2.81
Pd  0.3979  0.3979  0.2041  4 P 2.64, 1 Pd 2.74, 4 Ge 2.81
Ge  0.0000  0.0000  0.0000  8 Pd 2.81
P  0.2500  0.7500  0.5000  4 P 2.46, 4 Pd 2.64
P  0.7500  0.2500  0.5000  4 P 2.46, 4 Pd 2.64



# 12
GeP2Pd: optimized geometry, PBE.

## Properties
V	22.60	Å³ per atom
total magnetization	0.0	μB/f.u.
formation enthalpy at 0 K	0.556	eV/atom
VASP energy	-4.60	eV/atom

Unit cell a=4.4733 b=4.4733 c=5.8217 alpha=67.41 beta=67.41 gamma=60.00
Last column: nearest neighbours and their distance in Å.
Sites, in units of the cell vectors:
P  0.8545  0.8545  0.4364  1 Pd 2.28
P  0.1455  0.1455  0.5636  1 Pd 2.28
Ge  0.5000  0.5000  0.5000  6 P 2.60
Pd  0.0000  0.0000  0.0000  2 P 2.28



# 13
Ge2P2Pd: optimized geometry, PBE.

## Properties
V	17.09	Å³ per atom
total magnetization	0.0	μB/f.u.
formation enthalpy at 0 K	0.142	eV/atom
VASP energy	-4.91	eV/atom

Unit cell a=3.2902 b=3.2902 c=8.2304 alpha=78.47 beta=78.47 gamma=90.00
Last column: nearest neighbours and their distance in Å.
Sites, in units of the cell vectors:
Ge  0.4060  0.4060  0.1880  4 Pd 2.76, 4 P 2.96, 1 Ge 2.97
Ge  0.5940  0.5940  0.8120  4 Pd 2.76, 4 P 2.96, 1 Ge 2.97
P  0.2500  0.7500  0.5000  4 P 2.33
P  0.7500  0.2500  0.5000  4 P 2.33
Pd  0.0000  0.0000  0.0000  8 Ge 2.76



# 14
GePPd4: optimized geometry, PBE.

## Properties
V	14.89	Å³ per atom
total magnetization	0.0	μB/f.u.
formation enthalpy at 0 K	-0.481	eV/atom
VASP energy	-5.61	eV/atom

Unit cell a=3.2629 b=6.7173 c=16.3029 alpha=90.00 beta=90.00 gamma=90.00
Last column: nearest neighbours and their distance in Å.
Sites, in units of the cell vectors:
Pd  0.7500  0.8397  0.6558  2 P 2.42, 2 Ge 2.55-2.67
Pd  0.2500  0.6048  0.9414  3 P 2.44-2.67
Pd  0.7500  0.4878  0.2847  4 Ge 2.62-2.63, 6 Pd 2.90-2.92
Pd  0.7500  0.3397  0.8442  2 P 2.42, 2 Ge 2.55-2.67
Pd  0.7500  0.3952  0.0586  3 P 2.44-2.67
Pd  0.2500  0.6603  0.1558  2 P 2.42, 2 Ge 2.55-2.67
Pd  0.2500  0.0122  0.7847  4 Ge 2.62-2.63, 6 Pd 2.90-2.92
Pd  0.2500  0.5122  0.7153  4 Ge 2.62-2.63, 6 Pd 2.90-2.92
Pd  0.2500  0.1048  0.5586  3 P 2.44-2.67
Pd  0.7500  0.4570  0.5688  3 P 2.41-2.52, 1 Ge 2.57
Pd  0.7500  0.9570  0.9312  3 P 2.41-2.52, 1 Ge 2.57
Pd  0.2500  0.0430  0.0688  3 P 2.41-2.52, 1 Ge 2.57
Pd  0.7500  0.8952  0.4414  3 P 2.44-2.67
Pd  0.2500  0.1603  0.3442  2 P 2.42, 2 Ge 2.55-2.67
Pd  0.2500  0.5430  0.4312  3 P 2.41-2.52, 1 Ge 2.57
Pd  0.7500  0.9878  0.2153  4 Ge 2.62-2.63, 6 Pd 2.90-2.92
P  0.7500  0.7585  0.0542  8 Pd 2.41-2.67
P  0.2500  0.7415  0.5542  8 Pd 2.41-2.67
P  0.2500  0.2415  0.9458  8 Pd 2.41-2.67
P  0.7500  0.2585  0.4458  8 Pd 2.41-2.67
Ge  0.7500  0.7111  0.8107  9 Pd 2.55-2.78
Ge  0.2500  0.2889  0.1893  9 Pd 2.55-2.78
Ge  0.7500  0.2111  0.6893  9 Pd 2.55-2.78
Ge  0.2500  0.7889  0.3107  9 Pd 2.55-2.78



# 15
GePPd6: optimized geometry, PBE.

## Properties
V	16.23	Å³ per atom
total magnetization	0.0	μB/f.u.
formation enthalpy at 0 K	-0.314	eV/atom
VASP energy	-5.46	eV/atom

Unit cell a=5.8527 b=5.8558 c=5.5268 alpha=58.05 beta=58.06 gamma=60.00
Last column: nearest neighbours and their distance in Å.
Sites, in units of the cell vectors:
Pd  0.5467  0.2360  0.2422  1 P 2.30, 1 Ge 2.45
Pd  0.7639  0.0249  0.7577  1 P 2.30, 1 Ge 2.45
Pd  0.2361  0.9751  0.2423  1 P 2.30, 1 Ge 2.45
Pd  0.4533  0.7640  0.7578  1 P 2.30, 1 Ge 2.45
Pd  0.0250  0.4531  0.7579  1 P 2.30, 1 Ge 2.45
Pd  0.9750  0.5469  0.2421  1 P 2.30, 1 Ge 2.45
Ge  0.5000  0.5000  0.5000  6 Pd 2.45
P  0.0000  0.0000  0.0000  6 Pd 2.30



# 16
GePPd4: optimized geometry, PBE.

## Properties
V	16.28	Å³ per atom
total magnetization	0.0	μB/f.u.
formation enthalpy at 0 K	-0.428	eV/atom
VASP energy	-5.56	eV/atom

Unit cell a=5.7147 b=5.7107 c=7.2308 alpha=113.46 beta=113.48 gamma=89.52
Last column: nearest neighbours and their distance in Å.
Sites, in units of the cell vectors:
Pd  0.7571  0.9996  0.4986  2 P 2.49, 2 Ge 2.54, 1 Pd 2.77
Pd  0.4991  0.2416  0.9987  2 P 2.49, 2 Ge 2.54, 1 Pd 2.77
Pd  0.9996  0.7571  0.9987  2 P 2.49, 2 Ge 2.54, 1 Pd 2.77
Pd  0.5009  0.7584  0.0013  2 P 2.49, 2 Ge 2.54, 1 Pd 2.77
Pd  0.2429  0.0004  0.5014  2 P 2.49, 2 Ge 2.54, 1 Pd 2.77
Pd  0.2415  0.4990  0.4986  2 P 2.49, 2 Ge 2.54, 1 Pd 2.77
Pd  0.7585  0.5010  0.5014  2 P 2.49, 2 Ge 2.54, 1 Pd 2.77
Pd  0.0004  0.2429  0.0013  2 P 2.49, 2 Ge 2.54, 1 Pd 2.77
P  0.8750  0.1250  0.2499  8 Pd 2.49
P  0.1250  0.8750  0.7501  8 Pd 2.49
Ge  0.6250  0.3750  0.7499  8 Pd 2.54
Ge  0.3750  0.6250  0.2501  8 Pd 2.54



# 17
Ge5P2Pd12: optimized geometry, PBE.

## Properties
V	16.74	Å³ per atom
total magnetization	0.0	μB/f.u.
formation enthalpy at 0 K	-0.354	eV/atom
VASP energy	-5.42	eV/atom

Unit cell a=6.8737 b=8.0294 c=6.9855 alpha=111.68 beta=90.00 gamma=115.34
Last column: nearest neighbours and their distance in Å.
Sites, in units of the cell vectors:
Pd  0.5494  0.6650  0.9478  1 P 2.31, 3 Ge 2.51-2.58
Pd  0.1156  0.6650  0.9478  1 P 2.31, 3 Ge 2.51-2.58
Pd  0.9215  0.2955  0.5601  4 Ge 2.50-2.58, 1 Pd 2.75
Pd  0.9326  0.8652  0.7948  2 P 2.38, 1 Ge 2.62
Pd  0.6260  0.7045  0.4399  4 Ge 2.50-2.58, 1 Pd 2.75
Pd  0.0785  0.7045  0.4399  4 Ge 2.50-2.58, 1 Pd 2.75
Pd  0.8844  0.3350  0.0522  1 P 2.31, 3 Ge 2.51-2.58
Pd  0.5086  0.0171  0.7277  2 P 2.46
Pd  0.3740  0.2955  0.5601  4 Ge 2.50-2.58, 1 Pd 2.75
Pd  0.4914  0.9829  0.2723  2 P 2.46
Pd  0.0674  0.1348  0.2052  2 P 2.38, 1 Ge 2.62
Pd  0.4506  0.3350  0.0522  1 P 2.31, 3 Ge 2.51-2.58
Ge  0.2856  0.5712  0.1848  7 Pd 2.50-2.79
Ge  0.7030  0.4060  0.3761  7 Pd 2.55-2.85
Ge  0.2970  0.5940  0.6239  7 Pd 2.55-2.85
Ge  0.0000  0.0000  0.5000  6 Pd 2.54-2.62
Ge  0.7144  0.4288  0.8152  7 Pd 2.50-2.79
P  0.7165  0.0000  0.0000  6 Pd 2.31-2.46
P  0.2835  0.0000  0.0000  6 Pd 2.31-2.46



# 18
Ge2P2Pd: optimized geometry, PBE.

## Properties
V	17.75	Å³ per atom
total magnetization	0.0	μB/f.u.
formation enthalpy at 0 K	0.276	eV/atom
VASP energy	-4.77	eV/atom

Unit cell a=6.9786 b=6.9786 c=3.6445 alpha=90.00 beta=90.00 gamma=90.00
Last column: nearest neighbours and their distance in Å.
Sites, in units of the cell vectors:
Ge  0.8707  0.6293  0.0000  2 P 2.33, 1 Ge 2.55
Ge  0.3707  0.8707  0.0000  2 P 2.33, 1 Ge 2.55
Ge  0.6293  0.1293  0.0000  2 P 2.33, 1 Ge 2.55
Ge  0.1293  0.3707  0.0000  2 P 2.33, 1 Ge 2.55
P  0.2234  0.7234  0.5000  2 Ge 2.33
P  0.7234  0.7766  0.5000  2 Ge 2.33
P  0.7766  0.2766  0.5000  2 Ge 2.33
P  0.2766  0.2234  0.5000  2 Ge 2.33
Pd  0.0000  0.0000  0.0000  4 Ge 2.74
Pd  0.5000  0.5000  0.0000  4 Ge 2.74



# 19
Ge2PPd8: optimized geometry, PBE.

## Properties
V	15.22	Å³ per atom
total magnetization	0.0	μB/f.u.
formation enthalpy at 0 K	-0.461	eV/atom
VASP energy	-5.57	eV/atom

Unit cell a=4.1590 b=5.6332 c=7.7729 alpha=106.79 beta=105.52 gamma=90.00
Last column: nearest neighbours and their distance in Å.
Sites, in units of the cell vectors:
Pd  0.0254  0.7829  0.0509  1 Ge 2.48, 2 P 2.50, 3 Pd 2.76-2.77
Pd  0.2082  0.3043  0.4165  3 Ge 2.43-2.68
Pd  0.5929  0.4300  0.1857  1 P 2.40
Pd  0.3434  0.0358  0.6869  1 P 2.41, 3 Ge 2.58-2.62
Pd  0.9746  0.2171  0.9491  1 Ge 2.48, 2 P 2.50, 3 Pd 2.76-2.77
Pd  0.6566  0.9642  0.3131  1 P 2.41, 3 Ge 2.58-2.62
Pd  0.7918  0.6957  0.5835  3 Ge 2.43-2.68
Pd  0.4071  0.5700  0.8143  1 P 2.40
P  0.5000  0.0000  0.0000  8 Pd 2.40-2.50
Ge  0.8195  0.2928  0.6389  9 Pd 2.43-2.69
Ge  0.1805  0.7072  0.3611  9 Pd 2.43-2.69



# 20
Ge3PPd: optimized geometry, PBE.

## Properties
V	22.30	Å³ per atom
total magnetization	0.0	μB/f.u.
formation enthalpy at 0 K	0.511	eV/atom
VASP energy	-4.38	eV/atom

Unit cell a=4.8134 b=4.8134 c=4.8134 alpha=90.00 beta=90.00 gamma=90.00
Last column: nearest neighbours and their distance in Å.
Sites, in units of the cell vectors:
P  0.5000  0.5000  0.5000  12 Ge 3.40
Ge  0.5000  0.0000  0.0000  2 Pd 2.41
Ge  0.0000  0.0000  0.5000  2 Pd 2.41
Ge  0.0000  0.5000  0.0000  2 Pd 2.41
Pd  0.0000  0.0000  0.0000  6 Ge 2.41